Record 1
A plane-wave DFT calculation with PBE was carried out for an optimized crystal structure of LaPr6Y12.

Calculated values
E_form, eV per atom: 0.0186
VASP energy, eV per formula unit: -110.8
Space-group type: R-3
ΔE to the lowest computed polymorph, eV per atom: 0.0000
D(E_F), states/eV per atom: 1.466
Crystal system: trigonal

Cell and atoms, written as POSCAR:
```
LaPr6Y12
1.0
7.905 4.564 2.962
-7.905 4.564 2.962
0.000 -9.128 2.962
La Pr Y
1 6 12
direct
0.000 0.000 0.000
0.054 0.579 0.370
0.370 0.054 0.579
0.421 0.630 0.946
0.579 0.370 0.054
0.630 0.946 0.421
0.946 0.421 0.630
0.106 0.158 0.737
0.158 0.737 0.106
0.211 0.316 0.474
0.263 0.894 0.842
0.316 0.474 0.211
0.474 0.211 0.316
0.526 0.789 0.684
0.684 0.526 0.789
0.737 0.106 0.158
0.789 0.684 0.526
0.842 0.263 0.894
0.894 0.842 0.263
```

=====

Record 2
A plane-wave DFT calculation with PBE was carried out for an optimized crystal structure of LaPr2NdDy4.

Calculated values
E_form, eV per atom: 0.0144
VASP energy, eV per formula unit: -37.5
Space-group type: P2/m
D(E_F), states/eV per atom: 1.326
Crystal system: monoclinic

Cell and atoms, written as POSCAR:
```
LaPr2NdDy4
1.0
6.298 0.000 0.000
0.000 3.647 0.000
-2.130 0.000 11.724
La Pr Nd Dy
1 2 1 4
direct
0.000 0.000 0.000
0.500 0.000 0.500
0.500 0.500 0.000
0.000 0.500 0.500
0.250 0.000 0.749
0.250 0.500 0.251
0.750 0.000 0.251
0.750 0.500 0.749
```

=====

Record 3
A plane-wave DFT calculation with PBE was carried out for an optimized crystal structure of Ca3ErPb4.

Calculated values
E_form, eV per atom: -0.4969
VASP energy, eV per formula unit: -29.4
Space-group type: P4/mmm
D(E_F), states/eV per atom: 0.502
Crystal system: tetragonal

Cell and atoms, written as POSCAR:
```
Ca3ErPb4
1.0
3.596 0.000 0.000
0.000 3.596 0.000
0.000 0.000 18.165
Ca Er Pb
3 1 4
direct
0.000 0.000 0.000
0.000 0.000 0.252
0.000 0.000 0.748
0.000 0.000 0.500
0.500 0.500 0.127
0.500 0.500 0.380
0.500 0.500 0.620
0.500 0.500 0.873
```

=====

Record 4
A plane-wave DFT calculation with PBE was carried out for an optimized crystal structure of AsPtCl.

Calculated values
VASP energy, eV per formula unit: -12.7
Space-group type: I4mm
Energy relative to the elements, uncorrected, eV/atom: -0.04
ΔE to the lowest computed polymorph, eV per atom: 0.3589
D(E_F), states/eV per atom: 0.129
Crystal system: tetragonal

Cell and atoms, written as POSCAR:
```
AsPtCl
1.0
-1.579 1.579 5.952
1.579 -1.579 5.952
1.579 1.579 -5.952
As Pt Cl
1 1 1
direct
0.000 0.000 0.000
0.386 0.386 0.000
0.732 0.732 0.000
```

=====

Record 5
A plane-wave DFT calculation with PBE was carried out for an optimized crystal structure of Mg5In2AgPd2.

Calculated values
E_form, eV per atom: -0.3314
VASP energy, eV per formula unit: -30.0
Space-group type: P4/mbm
D(E_F), states/eV per atom: 0.333
Crystal system: tetragonal

Cell and atoms, written as POSCAR:
```
Mg5In2AgPd2
1.0
10.259 0.000 0.000
0.000 10.259 0.000
0.000 0.000 3.833
Mg In Ag Pd
10 4 2 4
direct
0.000 0.500 0.000
0.073 0.201 0.000
0.201 0.927 0.000
0.299 0.427 0.000
0.427 0.701 0.000
0.500 0.000 0.000
0.573 0.299 0.000
0.701 0.573 0.000
0.799 0.073 0.000
0.927 0.799 0.000
0.170 0.670 0.500
0.330 0.170 0.500
0.670 0.830 0.500
0.830 0.330 0.500
0.000 0.000 0.500
0.500 0.500 0.500
0.128 0.372 0.500
0.372 0.872 0.500
0.628 0.128 0.500
0.872 0.628 0.500
```

=====

Record 6
A plane-wave DFT calculation with PBE was carried out for an optimized crystal structure of Zn2Cu2Hg.

Calculated values
E_form, eV per atom: 0.1282
VASP energy, eV per formula unit: -10.4
Space-group type: I4/mmm
ΔE to the lowest computed polymorph, eV per atom: 0.0852
D(E_F), states/eV per atom: 0.384
Crystal system: tetragonal

Cell and atoms, written as POSCAR:
```
Zn2Cu2Hg
1.0
-1.760 1.760 6.669
1.760 -1.760 6.669
1.760 1.760 -6.669
Zn Cu Hg
2 2 1
direct
0.110 0.110 0.000
0.890 0.890 0.000
0.250 0.750 0.500
0.750 0.250 0.500
0.500 0.500 0.000
```

=====

Record 7
A plane-wave DFT calculation with PBE was carried out for an optimized crystal structure of BeCu2Au.

Calculated values
E_form, eV per atom: 0.0793
VASP energy, eV per formula unit: -14.9
Space-group type: Cmmm
D(E_F), states/eV per atom: 0.241
Crystal system: orthorhombic

Cell and atoms, written as POSCAR:
```
BeCu2Au
1.0
2.545 -3.714 0.000
2.545 3.714 0.000
0.000 0.000 2.771
Be Cu Au
1 2 1
direct
0.000 0.000 0.000
0.000 0.500 0.500
0.500 0.000 0.500
0.500 0.500 0.000
```

=====

Record 8
A plane-wave DFT calculation with PBE was carried out for an optimized crystal structure of CaTlRh2.

Calculated values
E_form, eV per atom: -0.0167
VASP energy, eV per formula unit: -19.1
Space-group type: Pmm2
D(E_F), states/eV per atom: 1.338
Crystal system: orthorhombic

Cell and atoms, written as POSCAR:
```
CaTlRh2
1.0
3.102 0.000 0.000
0.000 4.284 0.000
0.000 0.000 5.746
Ca Tl Rh
1 1 2
direct
0.000 0.000 0.000
0.500 0.500 0.687
0.000 0.000 0.476
0.500 0.500 0.216
```

=====

Record 9
A plane-wave DFT calculation with PBE was carried out for an optimized crystal structure of Cs2Rb3Cd2.

Calculated values
E_form, eV per atom: -0.0146
VASP energy, eV per formula unit: -6.5
Space-group type: C2/m
D(E_F), states/eV per atom: 0.748
Crystal system: monoclinic

Cell and atoms, written as POSCAR:
```
Cs2Rb3Cd2
1.0
7.870 -2.833 0.000
7.870 2.833 0.000
-1.751 0.000 10.699
Cs Rb Cd
2 3 2
direct
0.124 0.124 0.377
0.876 0.876 0.623
0.186 0.186 0.830
0.500 0.500 0.000
0.814 0.814 0.170
0.439 0.439 0.377
0.561 0.561 0.623
```

=====

Record 10
A plane-wave DFT calculation with PBE was carried out for an optimized crystal structure of CeP2Pt5.

Calculated values
E_form, eV per atom: -0.7102
VASP energy, eV per formula unit: -52.6
Space-group type: Immm
D(E_F), states/eV per atom: 1.272
Crystal system: orthorhombic

Cell and atoms, written as POSCAR:
```
CeP2Pt5
1.0
-2.076 3.468 4.784
2.076 -3.468 4.784
2.076 3.468 -4.784
Ce P Pt
1 2 5
direct
0.000 0.000 0.000
0.254 0.754 0.500
0.746 0.246 0.500
0.144 0.353 0.791
0.438 0.647 0.791
0.500 0.000 0.500
0.562 0.353 0.209
0.856 0.647 0.209
```

=====

Record 11
A plane-wave DFT calculation with PBE was carried out for an optimized crystal structure of TlCoAu2.

Calculated values
E_form, eV per atom: 0.3426
VASP energy, eV per formula unit: -14.7
Space-group type: Cm
ΔE to the lowest computed polymorph, eV per atom: 0.0954
D(E_F), states/eV per atom: 1.202
Crystal system: monoclinic

Cell and atoms, written as POSCAR:
```
TlCoAu2
1.0
4.499 -1.598 0.000
4.499 1.598 0.000
-1.226 0.000 5.137
Tl Co Au
1 1 2
direct
0.000 0.000 0.000
0.742 0.742 0.269
0.238 0.238 0.713
0.480 0.480 0.463
```

=====

Record 12
A plane-wave DFT calculation with PBE was carried out for an optimized crystal structure of Nd3Cu2O6.

Calculated values
VASP energy, eV per formula unit: -77.7
Space-group type: I4/mmm
Energy relative to the elements, uncorrected, eV/atom: -2.31
D(E_F), states/eV per atom: 0.058
Crystal system: tetragonal

Cell and atoms, written as POSCAR:
```
Nd3Cu2O6
1.0
-1.950 1.950 9.576
1.950 -1.950 9.576
1.950 1.950 -9.576
Nd Cu O
3 2 6
direct
0.000 0.000 0.000
0.176 0.176 0.000
0.824 0.824 0.000
0.417 0.417 0.000
0.583 0.583 0.000
0.084 0.584 0.500
0.293 0.293 0.000
0.416 0.916 0.500
0.584 0.084 0.500
0.707 0.707 0.000
0.916 0.416 0.500
```

=====

Record 13
A plane-wave DFT calculation with PBE was carried out for an optimized crystal structure of Pr2ThUN4.

Calculated values
VASP energy, eV per formula unit: -73.1
Space-group type: P2/m
Energy relative to the elements, uncorrected, eV/atom: -1.44
D(E_F), states/eV per atom: 0.352
Crystal system: monoclinic

Cell and atoms, written as POSCAR:
```
Pr2ThUN4
1.0
6.245 0.000 0.000
0.000 3.606 0.000
-2.056 0.000 5.904
Pr Th U N
2 1 1 4
direct
0.000 0.000 0.000
0.000 0.500 0.500
0.500 0.000 0.500
0.500 0.500 0.000
0.287 0.500 0.233
0.295 0.000 0.786
0.705 0.000 0.214
0.713 0.500 0.767
```

=====

Record 14
A plane-wave DFT calculation with PBE was carried out for an optimized crystal structure of Ag2Pd2Pb.

Calculated values
E_form, eV per atom: 0.0366
VASP energy, eV per formula unit: -19.6
Space-group type: P4/mbm
ΔE to the lowest computed polymorph, eV per atom: 0.0727
D(E_F), states/eV per atom: 0.468
Crystal system: tetragonal

Cell and atoms, written as POSCAR:
```
Ag2Pd2Pb
1.0
7.789 0.000 0.000
0.000 7.789 0.000
0.000 0.000 3.163
Ag Pd Pb
4 4 2
direct
0.128 0.372 0.000
0.372 0.872 0.000
0.628 0.128 0.000
0.872 0.628 0.000
0.167 0.667 0.500
0.333 0.167 0.500
0.667 0.833 0.500
0.833 0.333 0.500
0.000 0.000 0.000
0.500 0.500 0.000
```

=====

Record 15
A plane-wave DFT calculation with PBE was carried out for an optimized crystal structure of Pr8Rh3CI3.

Calculated values
VASP energy, eV per formula unit: -84.4
Space-group type: C2/m
Energy relative to the elements, uncorrected, eV/atom: -0.68
D(E_F), states/eV per atom: 0.842
Crystal system: monoclinic

Cell and atoms, written as POSCAR:
```
Pr8Rh3CI3
1.0
7.193 -4.155 0.000
7.193 4.155 0.000
-4.801 0.000 8.160
Pr Rh C I
8 3 1 3
direct
0.214 0.214 0.675
0.214 0.747 0.675
0.253 0.786 0.325
0.270 0.270 0.311
0.730 0.730 0.689
0.747 0.214 0.675
0.786 0.253 0.325
0.786 0.786 0.325
0.000 0.500 0.500
0.500 0.000 0.500
0.500 0.500 0.500
0.000 0.000 0.500
0.000 0.000 0.000
0.000 0.500 0.000
0.500 0.000 0.000
```

=====

Record 16
A plane-wave DFT calculation with PBE was carried out for an optimized crystal structure of Hf5N4.

Calculated values
VASP energy, eV per formula unit: -94.4
Space-group type: I4/m
Energy relative to the elements, uncorrected, eV/atom: -1.26
ΔE to the lowest computed polymorph, eV per atom: 0.3312
D(E_F), states/eV per atom: 0.274
Crystal system: tetragonal

Cell and atoms, written as POSCAR:
```
Hf5N4
1.0
-4.402 4.402 1.603
4.402 -4.402 1.603
4.402 4.402 -1.603
Hf N
5 4
direct
0.000 0.000 0.000
0.227 0.579 0.806
0.421 0.227 0.648
0.579 0.773 0.352
0.773 0.421 0.194
0.112 0.787 0.899
0.213 0.112 0.325
0.787 0.888 0.675
0.888 0.213 0.101
```

=====

Record 17
A plane-wave DFT calculation with PBE was carried out for an optimized crystal structure of Er5Tl2Au.

Calculated values
E_form, eV per atom: -0.4044
VASP energy, eV per formula unit: -34.1
Space-group type: Pbam
D(E_F), states/eV per atom: 1.031
Crystal system: orthorhombic

Cell and atoms, written as POSCAR:
```
Er5Tl2Au
1.0
6.905 0.000 0.000
0.000 12.792 0.000
0.000 0.000 4.903
Er Tl Au
10 4 2
direct
0.000 0.000 0.000
0.123 0.279 0.000
0.174 0.594 0.500
0.326 0.094 0.500
0.377 0.779 0.000
0.500 0.500 0.000
0.623 0.221 0.000
0.674 0.906 0.500
0.826 0.406 0.500
0.877 0.721 0.000
0.119 0.846 0.500
0.381 0.346 0.500
0.619 0.654 0.500
0.881 0.154 0.500
0.000 0.500 0.000
0.500 0.000 0.000
```

=====

Record 18
A plane-wave DFT calculation with PBE was carried out for an optimized crystal structure of Cs2UAgS5.

Calculated values
VASP energy, eV per formula unit: -44.6
Space-group type: Cmc2_1
Energy relative to the elements, uncorrected, eV/atom: -0.90
D(E_F), states/eV per atom: 0.703
Crystal system: orthorhombic

Cell and atoms, written as POSCAR:
```
Cs2UAgS5
1.0
2.041 -10.436 0.000
2.041 10.436 0.000
0.000 0.000 14.233
Cs U Ag S
4 2 2 10
direct
0.116 0.884 0.500
0.125 0.875 0.124
0.875 0.125 0.624
0.884 0.116 0.000
0.208 0.792 0.826
0.792 0.208 0.326
0.419 0.581 0.252
0.581 0.419 0.752
0.089 0.911 0.855
0.286 0.714 0.442
0.296 0.704 0.207
0.324 0.676 0.815
0.490 0.510 0.122
0.510 0.490 0.622
0.676 0.324 0.315
0.704 0.296 0.707
0.714 0.286 0.942
0.911 0.089 0.355
```